{"formula": "Co3TcO", "functional": "PBE with a Hubbard U", "state": "optimized geometry", "dos_ef_per_ev_fu": 2.8, "energy_ev_per_fu": -28.53, "relative_energy_mev_per_atom": 0, "m_tot_mub_per_fu": 6.28, "sg": "Pm-3m (221)", "lattice": [[3.8749, 0.0000, 0.0000], [0.0000, 3.8749, 0.0000], [0.0000, 0.0000, 3.8749]], "species": ["Co", "Co", "Co", "Tc", "O"], "fractional_positions": [[0.0000, 0.5000, 0.0000], [0.0000, 0.0000, 0.5000], [0.5000, 0.0000, 0.0000], [0.5000, 0.5000, 0.5000], [0.0000, 0.0000, 0.0000]]}